This record from Alexandria via LeMat-Bulk describes a geometry-optimized Dy3SiS2 structure. The functional is PBE.

Geometry as POSCAR:
```
Dy3SiS2
1.0
-1.9179 3.4591 -0.6277
-4.9474 -2.6639 0.4366
3.3882 0.6491 5.9791
Dy Si S
3 1 2
direct
0.5000 0.5000 0.0000 Dy
0.1654 0.1654 0.3309 Dy
0.8346 0.8346 0.6691 Dy
0.5000 0.0000 0.0000 Si
0.1674 0.6669 0.3337 S
0.8326 0.3331 0.6663 S
```

Properties
The calculation puts the total moment at 0.0 μB/cell. The value obtained for the raw total energy is -0.2287 Ha/atom. As for the symmetry: Immm, No. 71. Its offset from the most stable computed form is 0.0 kJ per mole of atoms. Its uncorrected formation energy is -1.641 eV per atom.